A geometry-optimized FeNiTeO6 structure. Source: Alexandria, functional GGA+U.

Cell lengths 4.6122, 4.6122, 9.0874 Å; angles 90.00, 90.00, 90.00 degrees
Closest atoms and distances in Å follow each position.
Atoms (fractional coordinates):
Fe  0.0000  0.0000  0.0000  6 O 1.93-2.00
Fe  0.5000  0.5000  0.5000  6 O 1.93-2.00
Ni  0.0000  0.0000  0.3340  6 O 2.00-2.03
Ni  0.5000  0.5000  0.8340  6 O 2.00-2.03
Te  0.0000  0.0000  0.6681  6 O 1.95-1.98
Te  0.5000  0.5000  0.1681  6 O 1.95-1.98
O  0.1886  0.1886  0.8359  1 Fe 1.93, 1 Te 1.96, 1 Ni 2.03
O  0.1937  0.1937  0.5045  1 Te 1.95, 1 Fe 2.00, 1 Ni 2.00
O  0.1964  0.1964  0.1648  1 Fe 1.97, 1 Te 1.98, 1 Ni 2.00
O  0.3036  0.6964  0.6648  1 Fe 1.97, 1 Te 1.98, 1 Ni 2.00
O  0.3063  0.6937  0.0045  1 Te 1.95, 1 Fe 2.00, 1 Ni 2.00
O  0.3114  0.6886  0.3359  1 Fe 1.93, 1 Te 1.96, 1 Ni 2.03
O  0.6886  0.3114  0.3359  1 Fe 1.93, 1 Te 1.96, 1 Ni 2.03
O  0.6937  0.3063  0.0045  1 Te 1.95, 1 Fe 2.00, 1 Ni 2.00
O  0.6964  0.3036  0.6648  1 Fe 1.97, 1 Te 1.98, 1 Ni 2.00
O  0.8036  0.8036  0.1648  1 Fe 1.97, 1 Te 1.98, 1 Ni 2.00
O  0.8063  0.8063  0.5045  1 Te 1.95, 1 Fe 2.00, 1 Ni 2.00
O  0.8114  0.8114  0.8359  1 Fe 1.93, 1 Te 1.96, 1 Ni 2.03

calculated volume: 10.7 Å³/atom
energy: -99.54 eV for the cell shown
crystal system: tetragonal